1.
# HfNi3Hg

HfNi3Hg after structural relaxation (PBE-GGA, the Alexandria database).

Calculated values
The relative energy among the computed polymorphs comes out at 0.000 eV/atom. As for the formation energy: 491 kJ/mol of formula units. As for the space group: Pm-3m.

Structure (CIF):
```
data_HfNi3Hg
_space_group_name_H-M_alt 'P 1'
_space_group_IT_number 1
_space_group_name_Hall 'P 1'
_cell_length_a 4.604
_cell_length_b 4.604
_cell_length_c 4.604
_cell_angle_alpha 90.00
_cell_angle_beta 90.00
_cell_angle_gamma 90.00
loop_
_atom_site_label
_atom_site_fract_x
_atom_site_fract_y
_atom_site_fract_z
_atom_site_occupancy
Hf1 0.000 0.000 0.000 1
Ni1 0.000 0.000 0.500 1
Ni2 0.000 0.500 0.000 1
Ni3 0.500 0.000 0.000 1
Hg1 0.500 0.500 0.500 1
```

***

2.
# Hf6Ni6Hg

Hf6Ni6Hg after structural relaxation (PBE-GGA, the Alexandria database).

Calculated values
As for the formation energy: -383 kJ/mol of formula units. As for the space group: Immm.

Structure (CIF):
```
data_Hf6Ni6Hg
_space_group_name_H-M_alt 'P 1'
_space_group_IT_number 1
_space_group_name_Hall 'P 1'
_cell_length_a 6.952
_cell_length_b 6.952
_cell_length_c 6.952
_cell_angle_alpha 136.68
_cell_angle_beta 98.60
_cell_angle_gamma 97.06
loop_
_atom_site_label
_atom_site_fract_x
_atom_site_fract_y
_atom_site_fract_z
_atom_site_occupancy
Hf1 0.156 0.500 0.656 1
Hf2 0.164 0.164 0.000 1
Hf3 0.322 0.000 0.322 1
Hf4 0.678 0.000 0.678 1
Hf5 0.836 0.836 0.000 1
Hf6 0.844 0.500 0.344 1
Ni1 0.000 0.000 0.500 1
Ni2 0.000 0.500 0.000 1
Ni3 0.260 0.760 0.500 1
Ni4 0.500 0.000 0.000 1
Ni5 0.500 0.500 0.500 1
Ni6 0.740 0.240 0.500 1
Hg1 0.500 0.500 0.000 1
```

***

3.
# Hf4NiHg

Hf4NiHg after structural relaxation (PBE-GGA, the Alexandria database).

Calculated values
As for the formation energy: -70 kJ/mol of formula units. As for the space group: P4/mcc.

Structure (CIF):
```
data_Hf4NiHg
_space_group_name_H-M_alt 'P 1'
_space_group_IT_number 1
_space_group_name_Hall 'P 1'
_cell_length_a 6.693
_cell_length_b 6.693
_cell_length_c 5.413
_cell_angle_alpha 90.00
_cell_angle_beta 90.00
_cell_angle_gamma 90.00
loop_
_atom_site_label
_atom_site_fract_x
_atom_site_fract_y
_atom_site_fract_z
_atom_site_occupancy
Hf1 0.139 0.323 0.000 1
Hf2 0.139 0.677 0.500 1
Hf3 0.323 0.139 0.500 1
Hf4 0.323 0.861 0.000 1
Hf5 0.677 0.139 0.000 1
Hf6 0.677 0.861 0.500 1
Hf7 0.861 0.323 0.500 1
Hf8 0.861 0.677 0.000 1
Ni1 0.000 0.000 0.250 1
Ni2 0.000 0.000 0.750 1
Hg1 0.500 0.500 0.250 1
Hg2 0.500 0.500 0.750 1
```

***

4.
# HfNiHg2

HfNiHg2 after structural relaxation (PBE-GGA, the Alexandria database).

Calculated values
As for the formation energy: 121 kJ/mol of formula units. As for the space group: I-42d.

Structure (CIF):
```
data_HfNiHg2
_space_group_name_H-M_alt 'P 1'
_space_group_IT_number 1
_space_group_name_Hall 'P 1'
_cell_length_a 6.079
_cell_length_b 6.079
_cell_length_c 6.079
_cell_angle_alpha 101.86
_cell_angle_beta 101.86
_cell_angle_gamma 126.09
loop_
_atom_site_label
_atom_site_fract_x
_atom_site_fract_y
_atom_site_fract_z
_atom_site_occupancy
Hf1 0.000 0.000 0.000 1
Hf2 0.750 0.250 0.500 1
Ni1 0.250 0.750 0.500 1
Ni2 0.500 0.500 0.000 1
Hg1 0.168 0.125 0.543 1
Hg2 0.375 0.832 0.957 1
Hg3 0.582 0.625 0.457 1
Hg4 0.875 0.418 0.043 1
```

***

5.
# Hf3NiHg

Hf3NiHg after structural relaxation (PBE-GGA, the Alexandria database).

Calculated values
The relative energy among the computed polymorphs comes out at 0.000 eV/atom. As for the formation energy: 88 kJ/mol of formula units. As for the space group: Pm-3m.

Structure (CIF):
```
data_Hf3NiHg
_space_group_name_H-M_alt 'P 1'
_space_group_IT_number 1
_space_group_name_Hall 'P 1'
_cell_length_a 4.801
_cell_length_b 4.801
_cell_length_c 4.801
_cell_angle_alpha 90.00
_cell_angle_beta 90.00
_cell_angle_gamma 90.00
loop_
_atom_site_label
_atom_site_fract_x
_atom_site_fract_y
_atom_site_fract_z
_atom_site_occupancy
Hf1 0.000 0.000 0.500 1
Hf2 0.000 0.500 0.000 1
Hf3 0.500 0.000 0.000 1
Ni1 0.000 0.000 0.000 1
Hg1 0.500 0.500 0.500 1
```

***

6.
# HfNiHgPd

HfNiHgPd after structural relaxation (PBE-GGA, the Alexandria database).

Calculated values
As for the formation energy: -131 kJ/mol of formula units. As for the space group: F-43m.

Structure (CIF):
```
data_HfNiHgPd
_space_group_name_H-M_alt 'P 1'
_space_group_IT_number 1
_space_group_name_Hall 'P 1'
_cell_length_a 4.560
_cell_length_b 4.560
_cell_length_c 4.560
_cell_angle_alpha 60.00
_cell_angle_beta 60.00
_cell_angle_gamma 60.00
loop_
_atom_site_label
_atom_site_fract_x
_atom_site_fract_y
_atom_site_fract_z
_atom_site_occupancy
Hf1 0.000 0.000 0.000 1
Ni1 0.250 0.250 0.250 1
Hg1 0.500 0.500 0.500 1
Pd1 0.750 0.750 0.750 1
```